Below is a relaxed Sn2WF8 crystal, with properties calculated at the GGA+U level.

Cell and atoms, written as CIF:
```
data_Sn2WF8
_cell_length_a 10.503
_cell_length_b 7.708
_cell_length_c 5.130
_cell_angle_alpha 90.00
_cell_angle_beta 108.94
_cell_angle_gamma 90.00
_symmetry_space_group_name_H-M 'C 1 2/m 1'
_symmetry_Int_Tables_number 12
loop_
_symmetry_equiv_pos_as_xyz
'x,y,z'
'-x,-y,-z'
'-x,y,-z'
'x,-y,z'
'x+1/2,y+1/2,z'
'-x+1/2,-y+1/2,-z'
'-x+1/2,y+1/2,-z'
'x+1/2,-y+1/2,z'
loop_
_atom_site_label
_atom_site_type_symbol
_atom_site_fract_x
_atom_site_fract_y
_atom_site_fract_z
Sn1 Sn 0.149 0.000 0.300
W1 W 0.000 0.500 0.000
F1 F 0.081 0.000 0.849
F2 F 0.113 0.308 0.239
F3 F 0.127 0.500 0.784
```

Results
E = -5.237 eV per atom